Compound: Na3Cd2Ga5
Source: Alexandria via LeMat-Bulk
Functional: PBE
Structure: optimized geometry

Summary:
formation energy	-0.066	eV/atom
raw total energy	-2.158	eV per atom

Cell lengths 6.1997, 9.2902, 9.2902 Å; angles 83.04, 70.51, 70.51 degrees
Element x y z (fractional)
Na  0.2500  0.0000  0.0000
Na  0.7500  0.0000  0.0000
Na  0.3967  0.3746  0.8321
Na  0.6033  0.6254  0.1679
Na  0.8967  0.8321  0.3746
Na  0.1033  0.1679  0.6254
Cd  0.1524  0.6868  0.0083
Cd  0.8476  0.3132  0.9917
Cd  0.6524  0.0083  0.6868
Cd  0.3476  0.9917  0.3132
Ga  0.2500  0.5000  0.5000
Ga  0.7500  0.5000  0.5000
Ga  0.5012  0.7488  0.7488
Ga  0.9988  0.2512  0.2512
Ga  0.4988  0.2512  0.2512
Ga  0.0012  0.7488  0.7488
Ga  0.1281  0.4963  0.2475
Ga  0.8719  0.5037  0.7525
Ga  0.6281  0.2475  0.4963
Ga  0.3719  0.7525  0.5037